This record from Alexandria via LeMat-Bulk describes a geometry-optimized CsTlAg structure. The functional is GGA-PBE.

Lattice parameters (Å, degrees): 4.0710 4.0710 13.3196 90.00 90.00 90.00
Space group I4mm (No. 107)
Symmetry-distinct sites (fractional):
Cs (0.0000, 0.0000, 0.0000) (multiplicity 2)
Tl (0.0000, 0.0000, 0.2859) (multiplicity 2)
Ag (0.0000, 0.0000, 0.7132) (multiplicity 2)

For the excess energy over the best structure of this formula in the dataset, the calculation gives 86.8 meV/atom.

This record from Alexandria via LeMat-Bulk describes a geometry-optimized CsTlAg2 structure. The functional is GGA-PBE.

Lattice parameters (Å, degrees): 5.0067 5.0067 20.0371 90.00 90.00 120.00
Space group R-3m (No. 166, hexagonal axes)
Symmetry-distinct sites (fractional):
Cs (0.0000, 0.0000, 0.0000) (multiplicity 3)
Tl (0.0000, 0.0000, 0.5000) (multiplicity 3)
Ag (0.0000, 0.0000, 0.1806) (multiplicity 6)

For the excess energy over the best structure of this formula in the dataset, the calculation gives 0.0 meV/atom.

This record from Alexandria via LeMat-Bulk describes a geometry-optimized CsTlAg structure. The functional is GGA-PBE.

Lattice parameters (Å, degrees): 5.0311 5.0311 5.7242 90.00 90.00 120.00
Space group P3m1 (No. 156)
Symmetry-distinct sites (fractional):
Cs (0.0000, 0.0000, 0.0000) (multiplicity 1)
Tl (0.3333, 0.6667, 0.5005) (multiplicity 1)
Ag (0.6667, 0.3333, 0.4987) (multiplicity 1)

For the excess energy over the best structure of this formula in the dataset, the calculation gives 83.9 meV/atom.